[1]
Material: BaNdCuPd
Method: DFT, PBE
State: optimized geometry

Lattice parameters (Å, degrees): 7.5116 7.5116 7.5116 90.00 90.00 90.00
Space group F-43m (No. 216)
Asymmetric unit:
Ba 0.0000 0.0000 0.0000 (multiplicity 4)
Nd 0.0000 0.0000 0.5000 (multiplicity 4)
Cu 0.2500 0.2500 0.2500 (multiplicity 4)
Pd 0.2500 0.2500 0.7500 (multiplicity 4)

Properties
Crystal system   cubic
ΔH_f (0 K)   -202.1 meV/atom
Total magnetic moment   0.00 μB per formula unit
Fermi-level density of states   14.6 states/eV per cell
V   26.489 Å³ per atom

=====

[2]
Material: CsP2H2
Method: DFT, PBE
State: optimized geometry

Lattice parameters (Å, degrees): 3.4616 5.4616 5.9393 102.97 103.13 92.23
Space group P-1 (No. 2)
Asymmetric unit:
Cs 0.0000 0.0000 0.0000 (multiplicity 1)
P 0.2433 0.6111 0.4664 (multiplicity 2)
H 0.4747 0.5113 0.0612 (multiplicity 2)

Properties
Crystal system   triclinic
Total magnetic moment   0.00 μB per formula unit
Fermi-level density of states   1.2 states/eV per cell
E above lowest polymorph   94 meV per atom
V   21.217 Å³ per atom

=====

[3]
Material: Er7Zn4Pb
Method: DFT, PBE
State: optimized geometry

Lattice parameters (Å, degrees): 13.9584 5.6515 8.8590 90.00 119.12 90.00
Space group C2/m (No. 12)
Asymmetric unit:
Er 0.0000 0.0000 0.0000 (multiplicity 2)
Er 0.0775 0.5000 0.4111 (multiplicity 4)
Er 0.1848 0.5000 0.8744 (multiplicity 4)
Er 0.2216 0.0000 0.6836 (multiplicity 4)
Zn 0.0147 0.0000 0.6680 (multiplicity 4)
Zn 0.1886 0.0000 0.3350 (multiplicity 4)
Pb 0.0000 0.5000 0.0000 (multiplicity 2)

Properties
Crystal system   monoclinic
ΔH_f (0 K)   -121.4 meV/atom
Total magnetic moment   0.00 μB per formula unit
Fermi-level density of states   20.6 states/eV per cell
V   25.437 Å³ per atom